SrPuGa: optimized geometry, PBE.

a = 3.7162 Å, b = 3.7162 Å, c = 13.2382 Å
α = 90.00°, β = 90.00°, γ = 90.00°
With the nearest neighbours (Å) after each atom.
Space group I4mm (No. 107)
Unique sites:
Sr: 0.0000 0.0000 0.0000 x2  4 Ga 3.35, 1 Pu 3.66, 4 Sr 3.72
Pu: 0.0000 0.0000 0.2761 x2  4 Ga 3.06
Ga: 0.0000 0.0000 0.6574 x2  4 Pu 3.06, 4 Sr 3.35

Output
formation enthalpy at 0 K = -0.06 eV per atom
energy above the lowest structure with this stoichiometry = 0 meV/atom
total moment = 6.30 μB/f.u.
theoretical density = 7.29 Mg/m³
calculated total energy = -6.4077 eV/atom